Entry from the Alexandria database: Ac2Be3AgAu12 after structural relaxation (PBE).

Geometry as POSCAR:
```
Ac2Be3AgAu12
1.0
-4.431 1.280 6.709
3.693 -0.529 7.236
1.252 6.851 4.216
Au Be Ac Ag
12 3 2 1
Direct
0.667 0.099 0.667
0.667 0.667 0.099
0.875 0.394 0.875
0.901 0.333 0.333
0.333 0.901 0.333
0.125 0.606 0.125
0.333 0.333 0.901
0.606 0.125 0.125
0.099 0.667 0.667
0.875 0.875 0.394
0.125 0.125 0.606
0.394 0.875 0.875
0.000 0.000 0.500
0.500 0.000 0.000
0.000 0.500 0.000
0.607 0.607 0.607
0.393 0.393 0.393
0.000 0.000 0.000
```

Summary:
* energy relative to the elements: -0.18 eV/atom

---

Entry from the Alexandria database: YHoTh2N4 after structural relaxation (PBE).

Geometry as POSCAR:
```
YHoTh2N4
1.0
-0.337 -1.551 -3.206
-5.437 -2.403 1.733
-0.913 5.527 -2.577
Ho N Th Y
1 4 2 1
Direct
0.500 0.500 0.000
0.000 0.747 0.245
0.500 0.250 0.246
0.500 0.750 0.754
0.000 0.253 0.755
0.000 0.500 0.500
0.500 0.000 0.500
0.000 0.000 0.000
```

Summary:
* energy relative to the elements, uncorrected: -1.622 eV/atom

---

Entry from the Alexandria database: Pr2YIn3 after structural relaxation (PBE).

Geometry as POSCAR:
```
Pr2YIn3
1.0
-0.337 -1.494 3.479
-0.352 -6.056 -2.635
14.816 -0.492 -0.852
Pr Y In
4 2 6
Direct
0.845 0.250 0.691
0.994 0.750 0.988
0.006 0.250 0.012
0.155 0.750 0.309
0.331 0.750 0.663
0.669 0.250 0.337
0.578 0.512 0.156
0.578 0.988 0.156
0.422 0.488 0.844
0.746 0.750 0.493
0.422 0.012 0.844
0.254 0.250 0.507
```

Summary:
* energy relative to the elements: -0.31 eV/atom

---

Entry from the Alexandria database: AcSm3Pt8 after structural relaxation (PBE).

Geometry as POSCAR:
```
AcSm3Pt8
1.0
5.536 0.000 0.000
-2.768 4.795 0.000
0.000 0.000 9.095
Pt Sm Ac
8 3 1
Direct
0.996 0.498 0.755
0.669 0.834 0.246
0.166 0.331 0.246
0.333 0.667 0.000
0.502 0.498 0.755
0.333 0.667 0.500
0.166 0.834 0.246
0.502 0.004 0.755
0.667 0.333 0.425
0.000 0.000 0.942
0.667 0.333 0.061
0.000 0.000 0.567
```

Summary:
* energy relative to the elements: -1.00 eV/atom

---

Entry from the Alexandria database: Ac2Si7Pd12 after structural relaxation (PBE).

Geometry as POSCAR:
```
Ac2Si7Pd12
1.0
4.011 0.000 0.000
0.000 8.725 -5.037
0.000 0.000 10.075
Pd Si Ac
12 7 2
Direct
0.500 0.549 0.761
0.000 0.954 0.227
0.500 0.712 0.098
0.000 0.273 0.046
0.000 0.483 0.938
0.000 0.455 0.517
0.500 0.212 0.451
0.500 0.386 0.288
0.000 0.773 0.727
0.500 0.239 0.788
0.000 0.062 0.545
0.500 0.902 0.614
0.000 0.729 0.951
0.000 0.333 0.667
0.500 0.939 0.373
0.500 0.627 0.566
0.000 0.049 0.777
0.000 0.223 0.271
0.500 0.434 0.061
0.000 0.667 0.333
0.500 0.000 0.000
```

Summary:
* energy relative to the elements, uncorrected: -0.762 eV/atom

---

Entry from the Alexandria database: Tb4PmTh3 after structural relaxation (PBE).

Geometry as POSCAR:
```
Tb4PmTh3
1.0
-4.118 -1.877 4.222
5.707 -1.772 1.719
0.046 7.956 0.577
Th Pm Tb
3 1 4
Direct
0.000 0.500 0.000
0.123 0.122 0.245
0.877 0.878 0.755
0.500 0.000 0.000
0.375 0.375 0.751
0.247 0.747 0.494
0.625 0.625 0.249
0.753 0.253 0.506
```

Summary:
* energy relative to the elements: 0.05 eV/atom

---

Entry from the Alexandria database: AcCeRh2 after structural relaxation (PBE).

Geometry as POSCAR:
```
AcCeRh2
1.0
7.595 0.000 0.045
0.000 6.024 0.000
0.082 0.000 8.437
Rh Ac Ce
8 4 4
Direct
0.049 0.841 0.153
0.563 0.674 0.603
0.063 0.826 0.603
0.549 0.659 0.153
0.951 0.159 0.847
0.437 0.326 0.397
0.937 0.174 0.397
0.451 0.341 0.847
0.322 0.848 0.871
0.678 0.152 0.129
0.822 0.652 0.871
0.178 0.348 0.129
0.321 0.838 0.380
0.821 0.662 0.380
0.179 0.338 0.620
0.679 0.162 0.620
```

Summary:
* energy relative to the elements: -0.71 eV/atom

---

Entry from the Alexandria database: TbDy3Ga4 after structural relaxation (PBE).

Geometry as POSCAR:
```
TbDy3Ga4
1.0
-2.742 -2.250 0.475
4.204 -4.558 2.682
-2.060 6.614 5.960
Dy Ga Tb
3 4 1
Direct
0.202 0.202 0.405
0.798 0.798 0.595
0.000 0.500 0.000
0.630 0.438 0.260
0.630 0.822 0.259
0.370 0.178 0.741
0.370 0.562 0.740
0.500 0.000 0.000
```

Summary:
* energy relative to the elements: -0.46 eV/atom